Record 1
First-principles (GGA-PBE) data for NbIn2Hg after structural relaxation, as listed in the Alexandria database.

Computed properties:
Its crystal system is tetragonal. The value obtained for the total energy is -3.772 eV per atom.

Structure (CIF):
```
data_NbIn2Hg
_symmetry_space_group_name_H-M 'P 4/m m m'
_symmetry_Int_Tables_number 123
_symmetry_space_group_name_Hall '-P 4 2'
_cell_length_a 4.4940
_cell_length_b 4.4940
_cell_length_c 4.1521
_cell_angle_alpha 90.00
_cell_angle_beta 90.00
_cell_angle_gamma 90.00
loop_
_atom_site_label
_atom_site_fract_x
_atom_site_fract_y
_atom_site_fract_z
Nb1 0.0000 0.0000 0.0000
In1 0.0000 0.5000 0.5000
Hg1 0.5000 0.5000 0.0000
```


Record 2
First-principles (GGA-PBE) data for Tb3P2Se after structural relaxation, as listed in the Alexandria database.

Computed properties:
Its crystal system is orthorhombic. The formation energy (no corrections) is -1.17 eV per atom. The value obtained for the total energy is -5.869 eV per atom.

Structure (CIF):
```
data_Tb3P2Se
_symmetry_space_group_name_H-M 'I m m a'
_symmetry_Int_Tables_number 74
_symmetry_space_group_name_Hall '-I 2b 2'
_cell_length_a 7.2107
_cell_length_b 10.7640
_cell_length_c 8.6703
_cell_angle_alpha 90.00
_cell_angle_beta 90.00
_cell_angle_gamma 90.00
loop_
_atom_site_label
_atom_site_fract_x
_atom_site_fract_y
_atom_site_fract_z
Tb1 0.2293 0.0000 0.0000
Tb2 0.2500 0.2500 0.2500
P1 0.0000 0.0492 0.2876
Se1 0.0000 0.2500 0.9618
```